A plane-wave DFT calculation with PBE was carried out for an optimized crystal structure of YMgZn.

Properties
The total energy comes out at -18.3 eV for the cell shown. The calculated volume comes out at 23.90 A^3/atom. The calculation puts the energy above the lowest structure with this stoichiometry at 323 meV/atom. The crystal system is trigonal. Its space group is P3m1, No. 156. The calculation puts the magnetization at 0.0 μB/cell.

a = 3.4899 Å, b = 3.4899 Å, c = 13.5971 Å
α = 90.00°, β = 90.00°, γ = 120.00°
Atoms (fractional coordinates):
Y 0.0000 0.0000 0.0000
Y 0.3333 0.6667 0.7921
Mg 0.3333 0.6667 0.4816
Mg 0.6667 0.3333 0.1957
Zn 0.0000 0.0000 0.3377
Zn 0.6667 0.3333 0.6259



A plane-wave DFT calculation with PBE was carried out for an optimized crystal structure of Mg3Zn.

Properties
The total energy comes out at -12.1 eV for the cell shown. The calculated volume comes out at 19.87 A^3/atom. The crystal system is hexagonal. Its space group is P6_3/mmc, No. 194.

a = 6.1210 Å, b = 6.1210 Å, c = 4.8981 Å
α = 90.00°, β = 90.00°, γ = 120.00°
Atoms (fractional coordinates):
Mg 0.1701 0.3401 0.2500
Mg 0.1701 0.8299 0.2500
Mg 0.3401 0.1701 0.7500
Mg 0.6599 0.8299 0.2500
Mg 0.8299 0.1701 0.7500
Mg 0.8299 0.6599 0.7500
Zn 0.3333 0.6667 0.7500
Zn 0.6667 0.3333 0.2500



A plane-wave DFT calculation with PBE was carried out for an optimized crystal structure of MgZn6.

Properties
The total energy comes out at -8.9 eV for the cell shown. The calculated volume comes out at 16.89 A^3/atom. The calculation puts the energy above the lowest structure with this stoichiometry at 0 meV/atom. The crystal system is trigonal. Its space group is R-3m, No. 166.

a = 5.7643 Å, b = 5.7643 Å, c = 5.7643 Å
α = 54.55°, β = 54.55°, γ = 54.55°
Atoms (fractional coordinates):
Mg 0.0000 0.0000 0.0000
Zn 0.0867 0.5944 0.5944
Zn 0.4056 0.4056 0.9133
Zn 0.4056 0.9133 0.4056
Zn 0.5944 0.0867 0.5944
Zn 0.5944 0.5944 0.0867
Zn 0.9133 0.4056 0.4056



A plane-wave DFT calculation with PBE was carried out for an optimized crystal structure of MgZn.

Properties
The total energy comes out at -23.4 eV for the cell shown. The calculated volume comes out at 17.86 A^3/atom. The crystal system is orthorhombic. Its space group is Pmmn, No. 59.

a = 4.6639 Å, b = 11.5112 Å, c = 5.3230 Å
α = 90.00°, β = 90.00°, γ = 90.00°
Atoms (fractional coordinates):
Mg 0.2500 0.0980 0.1072
Mg 0.2500 0.2500 0.6149
Mg 0.2500 0.4020 0.1072
Mg 0.2500 0.7500 0.7453
Mg 0.7500 0.2500 0.2547
Mg 0.7500 0.5980 0.8928
Mg 0.7500 0.7500 0.3851
Mg 0.7500 0.9020 0.8928
Zn 0.2500 0.0000 0.6339
Zn 0.2500 0.5000 0.6339
Zn 0.2500 0.6355 0.2302
Zn 0.2500 0.8645 0.2302
Zn 0.7500 0.0000 0.3661
Zn 0.7500 0.1355 0.7698
Zn 0.7500 0.3645 0.7698
Zn 0.7500 0.5000 0.3661



Which formula does entry 3 have? MgZn6